LuTa2Cu (PBE, optimized geometry); total magnetic moment = 0.00 μB/atom; total DFT energy (no corrections) = -30.93 eV per cell
1.0
0.000 3.316 3.316
3.316 0.000 3.316
3.316 3.316 0.000
Lu Ta Cu
1 2 1
direct
0.000 0.000 0.000
0.500 0.500 0.500
0.750 0.750 0.750
0.250 0.250 0.250

LuTaTlCu (PBE, optimized geometry); total magnetic moment = 0.60 μB/atom; total DFT energy (no corrections) = -20.14 eV per cell
1.0
0.000 3.460 3.460
3.460 0.000 3.460
3.460 3.460 0.000
Lu Ta Tl Cu
1 1 1 1
direct
0.000 0.000 0.000
0.250 0.250 0.250
0.500 0.500 0.500
0.750 0.750 0.750

LuTaZnCu (PBE, optimized geometry); total magnetic moment = 0.70 μB/atom; total DFT energy (no corrections) = -19.51 eV per cell
1.0
0.000 3.310 3.310
3.310 0.000 3.310
3.310 3.310 0.000
Lu Ta Zn Cu
1 1 1 1
direct
0.000 0.000 0.000
0.250 0.250 0.250
0.500 0.500 0.500
0.750 0.750 0.750

TbLuCuTe3 (PBE, optimized geometry); total magnetic moment = 0.00 μB/atom; total DFT energy (no corrections) = -56.22 eV per cell
1.0
2.055 -7.079 0.000
2.055 7.079 0.000
0.000 0.000 10.931
Tb Lu Cu Te
2 2 2 6
direct
0.227 0.773 0.750
0.773 0.227 0.250
0.000 0.000 0.000
0.000 0.000 0.500
0.471 0.529 0.250
0.529 0.471 0.750
0.095 0.905 0.250
0.353 0.647 0.064
0.353 0.647 0.436
0.647 0.353 0.564
0.647 0.353 0.936
0.905 0.095 0.750